Compound: CrSbPb2
Source: Alexandria
Functional: PBE
Structure: relaxed

## Properties
VASP energy = -20.17 eV per formula unit
Size of the total moment = 3.4 μB per cell
E_form (uncorrected) = 0.25 eV per atom
Volume = 26.09 Å³/atom

Cell and atoms, written as CIF:
```
data_CrSbPb2
_chemical_formula_sum 'Cr1 Sb1 Pb2'
_cell_length_a 3.4810
_cell_length_b 3.6435
_cell_length_c 8.2274
_cell_angle_alpha 90.00
_cell_angle_beta 90.52
_cell_angle_gamma 90.00
_symmetry_space_group_name_H-M 'P 1 m 1'
_symmetry_Int_Tables_number 6
_symmetry_space_group_name_Hall 'P -2y'
loop_
_atom_site_label
_atom_site_type_symbol
_atom_site_fract_x
_atom_site_fract_y
_atom_site_fract_z
_atom_site_occupancy
Cr1 Cr 0.0000 0.0000 0.0000 1
Sb1 Sb 0.5016 0.5000 0.1518 1
Pb1 Pb 0.0040 0.0000 0.4428 1
Pb2 Pb 0.5052 0.5000 0.7548 1
```